20
Lattice="4.626 -7.674 0.000 4.626 7.674 0.000 -1.347 0.000 9.715" Properties=species:S:1:pos:R:3 comment="GGA-PBE Pm6PrSm2Dy, optimized geometry" magmom_total_mub_per_cell=0.0 space_group="C2/c (15)" final_energy_ev_per_cell=-92.4 formation_enthalpy_0k_ev_per_atom=0.113 pbc="T T T"
Pm 2.447 4.245 1.810
Pm 3.277 4.837 5.395
Pm 3.954 4.837 9.178
Pm 3.193 1.637 3.698
Pm 6.131 4.245 3.047
Pm 5.386 1.637 1.160
Pm 2.519 -1.637 8.555
Pm 1.774 -4.245 6.668
Pm 4.712 -1.637 6.017
Pm 3.951 -4.837 0.537
Pm 4.628 -4.837 4.320
Pm 5.457 -4.245 7.905
Pr 4.289 7.331 2.429
Pr 3.616 -7.331 7.286
Sm 2.242 0.771 0.432
Sm 1.569 -0.771 5.290
Sm 6.336 0.771 4.425
Sm 5.662 -0.771 9.283
Dy 3.616 1.402 7.286
Dy 4.289 -1.402 2.429